Record 1
# LiCoIr2

An optimized crystal structure of LiCoIr2 (PBE-GGA, Alexandria).

Cell: 4.4636 4.4636 4.4636 Å, 130.37 130.37 72.82°
Last column: nearest neighbours and their distance in Å.
Fractional positions:
Li1 0.2500 0.7500 0.5000  8 Ir 2.60, 4 Co 2.65
Ir1 0.5000 0.5000 0.0000  4 Co 2.60, 4 Li 2.60, 4 Ir 2.65
Ir2 0.0000 0.0000 0.0000  4 Li 2.60, 4 Co 2.60, 4 Ir 2.65
Co1 0.7500 0.2500 0.5000  8 Ir 2.60, 4 Li 2.65

Output
Calculated formation energy: 46 meV/atom
ΔE to the lowest computed polymorph: 0.080 eV/atom

***

Record 2
# LiTaSN2

An optimized crystal structure of LiTaSN2 (PBE-GGA, Alexandria).

Cell: 3.6122 3.6122 4.2070 Å, 90.00 90.00 90.00°
Last column: nearest neighbours and their distance in Å.
Fractional positions:
Li1 0.0000 0.0000 0.0000  4 N 1.81
N1 0.5000 0.0000 0.0000  2 Li 1.81
Ta1 0.5000 0.5000 0.5000  4 S 2.55, 8 N 2.77
S1 0.0000 0.0000 0.5000  2 Li 2.10
N2 0.0000 0.5000 0.0000  2 Li 1.81

Output
E_form (uncorrected): 1142 meV/atom
ΔE to the lowest computed polymorph: 1.331 eV/atom

***

Record 3
# Tb8TlSb2

An optimized crystal structure of Tb8TlSb2 (PBE-GGA, Alexandria).

Cell: 4.9380 7.1223 9.9327 Å, 100.31 104.39 90.00°
Last column: nearest neighbours and their distance in Å.
Fractional positions:
Sb1 0.8196 0.2348 0.6392  9 Tb 3.11-3.40
Tb1 0.2151 0.3462 0.4303  3 Sb 3.18-3.37, 4 Tb 3.41-3.42
Tb2 0.5942 0.4867 0.1884  2 Sb 3.40, 10 Tb 3.51-3.80, 1 Tl 3.60
Tb3 0.6628 0.0189 0.3257  1 Tl 3.11, 3 Sb 3.11-3.12, 2 Tb 3.42
Tl1 0.5000 0.0000 0.0000  6 Tb 3.08-3.11
Tb4 0.0175 0.7552 0.0350  2 Tl 3.08, 1 Sb 3.12
Tb5 0.7849 0.6538 0.5697  3 Sb 3.18-3.37, 4 Tb 3.41-3.42
Tb6 0.9825 0.2448 0.9650  2 Tl 3.08, 1 Sb 3.12
Tb7 0.4058 0.5133 0.8116  2 Sb 3.40, 10 Tb 3.51-3.80, 1 Tl 3.60
Tb8 0.3372 0.9811 0.6743  1 Tl 3.11, 3 Sb 3.11-3.12, 2 Tb 3.42
Sb2 0.1804 0.7652 0.3608  9 Tb 3.11-3.40

Output
E_form (uncorrected): -390 meV/atom

***

Record 4
# BaTi2SbBr

An optimized crystal structure of BaTi2SbBr (PBE-GGA, Alexandria).

Cell: 4.8840 6.1817 4.8840 Å, 90.00 90.00 90.00°
Last column: nearest neighbours and their distance in Å.
Fractional positions:
Ti1 0.0000 0.0000 0.5000  2 Br 2.44
Sb1 0.0000 0.5000 0.0000  2 Br 3.09, 4 Ba 3.45
Br1 0.0000 0.0000 0.0000  4 Ti 2.44
Ti2 0.5000 0.0000 0.0000  2 Br 2.44
Ba1 0.5000 0.5000 0.5000  4 Sb 3.45

Output
E_form (uncorrected): 346 meV/atom

***

Record 5
# LiTe2Se

An optimized crystal structure of LiTe2Se (PBE-GGA, Alexandria).

Cell: 6.6209 6.6209 6.6209 Å, 141.75 143.18 54.14°
Last column: nearest neighbours and their distance in Å.
Fractional positions:
Te1 0.8197 0.3197 0.5000  2 Te 2.98, 2 Li 3.22
Se1 0.1598 0.6598 0.5000  2 Li 2.61
Li1 0.5273 0.5273 0.0000  2 Se 2.61
Te2 0.9932 0.9932 0.0000  2 Se 2.93, 2 Te 2.98, 4 Li 3.04

Output
E_form (uncorrected): -268 meV/atom

***

Record 6
# InCo2Hg

An optimized crystal structure of InCo2Hg (PBE-GGA, Alexandria).

Cell: 3.1285 3.1293 6.9985 Å, 63.41 90.00 90.00°
Last column: nearest neighbours and their distance in Å.
Fractional positions:
Hg1 0.5000 0.2500 0.2500  8 Co 2.74
Co1 0.0000 0.0084 0.9914  4 In 2.68, 4 Hg 2.74
Co2 0.0000 0.4916 0.5086  4 In 2.68, 4 Hg 2.74
In1 0.5000 0.7500 0.7500  8 Co 2.68

Output
Calculated formation energy: 344 meV/atom
ΔE to the lowest computed polymorph: 0.083 eV/atom

***

Record 7
# TeWSe2

An optimized crystal structure of TeWSe2 (PBE-GGA, Alexandria).

Cell: 3.4228 3.4231 7.5157 Å, 90.00 90.00 90.00°
Last column: nearest neighbours and their distance in Å.
Fractional positions:
Se1 0.5000 0.5000 0.1588  1 W 2.68, 4 Se 2.79
W1 0.5000 0.5000 0.8020  5 Se 2.68-2.74, 4 Te 3.00
Se2 0.0000 0.0000 0.9729  4 W 2.74, 4 Se 2.79, 1 Te 3.06
Te1 0.0000 0.0000 0.5664  4 W 3.00, 1 Se 3.06

Output
E_form (uncorrected): 350 meV/atom

***

Record 8
# CsPO3

An optimized crystal structure of CsPO3 (PBE-GGA, Alexandria).

Cell: 3.8808 3.8808 3.8808 Å, 90.00 90.00 90.00°
Last column: nearest neighbours and their distance in Å.
Fractional positions:
O1 0.0000 0.0000 0.5000  2 P 1.94
Cs1 0.5000 0.5000 0.5000  12 O 2.74
P1 0.0000 0.0000 0.0000  6 O 1.94
O2 0.0000 0.5000 0.0000  2 P 1.94
O3 0.5000 0.0000 0.0000  2 P 1.94

Output
E_form (uncorrected): -637 meV/atom

***

Record 9
# CrFeCoMo

An optimized crystal structure of CrFeCoMo (PBE-GGA, Alexandria).

Cell: 4.1513 4.1513 4.1513 Å, 60.00 60.00 60.00°
Last column: nearest neighbours and their distance in Å.
Fractional positions:
Mo1 0.0000 0.0000 0.0000  4 Cr 2.54, 4 Fe 2.54
Fe1 0.7500 0.7500 0.7500  4 Mo 2.54, 4 Co 2.54
Cr1 0.2500 0.2500 0.2500  4 Mo 2.54, 4 Co 2.54
Co1 0.5000 0.5000 0.5000  4 Cr 2.54, 4 Fe 2.54

Output
Calculated formation energy: 131 meV/atom

***

Record 10
# Sr2BiBr

An optimized crystal structure of Sr2BiBr (PBE-GGA, Alexandria).

Cell: 5.7800 5.7800 5.7800 Å, 60.00 60.00 60.00°
Last column: nearest neighbours and their distance in Å.
Fractional positions:
Sr1 0.7500 0.7500 0.7500  4 Bi 3.54, 4 Br 3.54
Sr2 0.2500 0.2500 0.2500  4 Bi 3.54, 4 Br 3.54
Br1 0.0000 0.0000 0.0000  8 Sr 3.54
Bi1 0.5000 0.5000 0.5000  8 Sr 3.54

Output
E_form (uncorrected): -1263 meV/atom

***

Record 11
# ZnInPb2O

An optimized crystal structure of ZnInPb2O (PBE-GGA, Alexandria).

Cell: 5.1834 4.5438 5.1834 Å, 90.00 90.00 90.00°
Last column: nearest neighbours and their distance in Å.
Fractional positions:
In1 0.0000 0.5000 0.0000  2 O 2.27
O1 0.0000 0.0000 0.0000  2 In 2.27
Pb1 0.0000 0.0000 0.5000  2 O 2.59
Zn1 0.5000 0.5000 0.5000  8 Pb 3.45, 4 In 3.67
Pb2 0.5000 0.0000 0.0000  2 O 2.59

Output
E_form (uncorrected): -131 meV/atom

***

Record 12
# SrPt2O

An optimized crystal structure of SrPt2O (PBE-GGA, Alexandria).

Cell: 5.3046 5.3046 7.3499 Å, 68.85 68.85 90.00°
Last column: nearest neighbours and their distance in Å.
Fractional positions:
Pt1 0.8750 0.6251 0.7500  2 O 2.06
Pt2 0.3749 0.6250 0.2500  2 O 2.06
O1 0.2500 0.7500 0.5000  4 Pt 2.06
Sr1 0.7500 0.2500 0.5000  8 Pt 3.36, 4 O 3.75
Pt3 0.3750 0.6249 0.7500  2 O 2.06
Sr2 0.0000 0.0000 0.0000  8 Pt 3.36, 4 O 3.75
Pt4 0.3751 0.1250 0.2500  2 O 2.06
O2 0.5000 0.5000 0.0000  4 Pt 2.06

Output
E_form (uncorrected): -518 meV/atom

***

Record 13
# La3TbIn2

An optimized crystal structure of La3TbIn2 (PBE-GGA, Alexandria).

Cell: 5.3051 6.8986 10.4312 Å, 90.00 90.00 90.00°
Last column: nearest neighbours and their distance in Å.
Fractional positions:
La1 0.0000 0.3162 0.3185  5 In 3.24-3.61, 2 Tb 3.55
La2 0.0000 0.9280 0.0489  4 La 3.39-3.60, 5 In 3.42-3.65
In1 0.5000 0.7074 0.8582  9 La 3.32-3.65, 1 Tb 3.48
In2 0.5000 0.2074 0.1418  9 La 3.32-3.65, 1 Tb 3.48
Tb1 0.5000 0.5497 0.5409  5 In 3.30-3.62, 2 La 3.55, 2 Tb 3.55
In3 0.0000 0.7991 0.3710  6 La 3.24-3.61, 4 Tb 3.30-3.62
In4 0.0000 0.2991 0.6290  6 La 3.24-3.61, 4 Tb 3.30-3.62
La3 0.0000 0.8162 0.6815  5 In 3.24-3.61, 2 Tb 3.55
La4 0.5000 0.6997 0.1829  5 In 3.37-3.53, 2 La 3.39, 1 Tb 3.76
La5 0.0000 0.4280 0.9511  4 La 3.39-3.60, 5 In 3.42-3.65
Tb2 0.5000 0.0497 0.4591  5 In 3.30-3.62, 2 La 3.55, 2 Tb 3.55
La6 0.5000 0.1997 0.8171  5 In 3.37-3.53, 2 La 3.39, 1 Tb 3.76

Output
Calculated formation energy: -362 meV/atom
ΔE to the lowest computed polymorph: 0.000 eV/atom

***

Record 14
# KSmNpO6

An optimized crystal structure of KSmNpO6 (PBE-GGA, Alexandria).

Cell: 5.4075 5.4075 10.6781 Å, 90.00 90.00 90.00°
Last column: nearest neighbours and their distance in Å.
Fractional positions:
K1 0.0000 0.0000 0.9982  6 O 2.57-2.72
Np1 0.0000 0.0000 0.3346  6 O 2.00-2.04
O1 0.3355 0.3355 0.9801  1 Np 2.00
O2 0.6988 0.6988 0.7100  1 Np 2.02
O3 0.2351 0.7649 0.8100  1 Np 2.04
O4 0.7351 0.7351 0.3100  1 Np 2.04
O5 0.7649 0.2351 0.8100  1 Np 2.04
O6 0.3012 0.3012 0.7100  1 Np 2.02
O7 0.8012 0.1988 0.2100  1 Np 2.02
O8 0.1988 0.8012 0.2100  1 Np 2.02
Np2 0.5000 0.5000 0.8346  6 O 2.00-2.04
O9 0.1645 0.8355 0.4801  1 Np 2.00
O10 0.2649 0.2649 0.3100  1 Np 2.04
O11 0.8355 0.1645 0.4801  1 Np 2.00
O12 0.6645 0.6645 0.9801  1 Np 2.00
Sm1 0.5000 0.5000 0.1670  6 O 2.35-2.36
Sm2 0.0000 0.0000 0.6670  6 O 2.35-2.36
K2 0.5000 0.5000 0.4982  6 O 2.57-2.72

Output
E_form (uncorrected): -2433 meV/atom

***

Record 15
# Pu2NiPt

An optimized crystal structure of Pu2NiPt (PBE-GGA, Alexandria).

Cell: 3.4975 4.8453 4.8453 Å, 90.00 90.00 90.00°
Last column: nearest neighbours and their distance in Å.
Fractional positions:
Ni1 0.5000 0.5000 0.5000  8 Pu 2.99
Pt1 0.5000 0.0000 0.0000  8 Pu 2.99
Pu1 0.0000 0.5000 0.0000  4 Ni 2.99, 4 Pt 2.99
Pu2 0.0000 0.0000 0.5000  4 Ni 2.99, 4 Pt 2.99

Output
Calculated formation energy: -366 meV/atom
ΔE to the lowest computed polymorph: 0.080 eV/atom

***

Record 16
# Dy8SnRh2

An optimized crystal structure of Dy8SnRh2 (PBE-GGA, Alexandria).

Cell: 5.4567 7.9339 7.9339 Å, 113.89 97.93 97.93°
Last column: nearest neighbours and their distance in Å.
Fractional positions:
Dy1 0.8043 0.6124 0.6124  2 Rh 3.11, 4 Dy 3.19-3.39, 1 Sn 3.28
Dy2 0.0000 0.2487 0.7573  2 Rh 2.84
Dy3 0.5746 0.0784 0.3329  2 Rh 2.86-2.90
Rh1 0.5002 0.6992 0.3070  8 Dy 2.84-3.11
Dy4 0.5746 0.3329 0.0784  2 Rh 2.86-2.90
Dy5 0.0000 0.7573 0.2487  2 Rh 2.84
Dy6 0.1958 0.3939 0.3939  2 Rh 3.11, 4 Dy 3.19-3.39, 1 Sn 3.28
Dy7 0.4254 0.9277 0.6732  2 Rh 2.86-2.90
Rh2 0.5002 0.3070 0.6992  8 Dy 2.84-3.11
Dy8 0.4254 0.6732 0.9277  2 Rh 2.86-2.90
Sn1 0.9991 0.0031 0.0031  10 Dy 3.27-3.65

Output
Calculated formation energy: -432 meV/atom

***

Record 17
# Re3BAs

An optimized crystal structure of Re3BAs (PBE-GGA, Alexandria).

Cell: 4.1614 4.1614 4.1614 Å, 90.00 90.00 90.00°
Last column: nearest neighbours and their distance in Å.
Fractional positions:
As1 0.5000 0.5000 0.5000  12 Re 2.94
Re1 0.5000 0.0000 0.0000  2 B 2.08
Re2 0.0000 0.5000 0.0000  2 B 2.08
Re3 0.0000 0.0000 0.5000  2 B 2.08
B1 0.0000 0.0000 0.0000  6 Re 2.08

Output
Calculated formation energy: 692 meV/atom
ΔE to the lowest computed polymorph: 0.000 eV/atom

***

Record 18
# Li5GaCu3

An optimized crystal structure of Li5GaCu3 (PBE-GGA, Alexandria).

Cell: 5.8052 5.8052 10.0171 Å, 81.72 81.72 108.99°
Last column: nearest neighbours and their distance in Å.
Fractional positions:
Li1 0.6118 0.1086 0.6451  2 Cu 2.51-2.80, 1 Li 2.70
Li2 0.2599 0.7401 0.0000  3 Cu 2.46-2.60
Ga1 0.0060 0.0060 0.7506  4 Cu 2.43-2.52, 2 Li 2.57-2.68
Ga2 0.9940 0.9940 0.2494  4 Cu 2.43-2.52, 2 Li 2.57-2.68
Cu1 0.0000 0.0000 0.0000  4 Li 2.42-2.46, 2 Ga 2.49, 2 Cu 2.52
Cu2 0.6755 0.6755 0.9174  5 Li 2.43-2.62, 1 Ga 2.43, 2 Cu 2.52-2.53
Cu3 0.6714 0.6714 0.4256  5 Li 2.40-2.66, 2 Cu 2.42-2.51, 1 Ga 2.44
Li3 0.1086 0.6118 0.6451  2 Cu 2.51-2.80, 1 Li 2.70
Cu4 0.3286 0.3286 0.5744  5 Li 2.40-2.66, 2 Cu 2.42-2.51, 1 Ga 2.44
Li4 0.3433 0.3433 0.3321  4 Cu 2.40-2.61, 1 Li 2.42, 1 Ga 2.68
Li5 0.3334 0.3334 0.8389  1 Li 2.42, 4 Cu 2.42-2.66, 1 Ga 2.57
Cu5 0.0000 0.0000 0.5000  6 Li 2.50-2.80, 2 Cu 2.51, 2 Ga 2.52
Li6 0.8914 0.3882 0.3549  2 Cu 2.51-2.80, 1 Li 2.70
Li7 0.6666 0.6666 0.1611  1 Li 2.42, 4 Cu 2.42-2.66, 1 Ga 2.57
Li8 0.7401 0.2599 0.0000  3 Cu 2.46-2.60
Cu6 0.3245 0.3245 0.0826  5 Li 2.43-2.62, 1 Ga 2.43, 2 Cu 2.52-2.53
Li9 0.6567 0.6567 0.6679  4 Cu 2.40-2.61, 1 Li 2.42, 1 Ga 2.68
Li10 0.3882 0.8914 0.3549  2 Cu 2.51-2.80, 1 Li 2.70

Output
Calculated formation energy: 10 meV/atom

***

Record 19
# Cs2NdRuO6

An optimized crystal structure of Cs2NdRuO6 (PBE-GGA, Alexandria).

Cell: 5.9609 6.6772 6.6772 Å, 120.00 90.00 90.00°
Last column: nearest neighbours and their distance in Å.
Fractional positions:
O1 0.1976 0.2640 0.1320  1 Ru 1.93
O2 0.1976 0.8680 0.7360  1 Ru 1.93
Cs1 0.8717 0.6667 0.3333  9 O 3.03-3.39
O3 0.8024 0.1320 0.2640  1 Ru 1.93
Ru1 0.0000 0.0000 0.0000  6 O 1.93
O4 0.1976 0.8680 0.1320  1 Ru 1.93
O5 0.8024 0.1320 0.8680  1 Ru 1.93
Nd1 0.5000 0.0000 0.0000  6 O 2.36
Cs2 0.1283 0.3333 0.6667  9 O 3.03-3.39
O6 0.8024 0.7360 0.8680  1 Ru 1.93

Output
E_form (uncorrected): -1562 meV/atom

***

Record 20
# TeOsRu2

An optimized crystal structure of TeOsRu2 (PBE-GGA, Alexandria).

Cell: 4.0451 2.9369 5.5822 Å, 74.74 90.00 90.00°
Last column: nearest neighbours and their distance in Å.
Fractional positions:
Ru1 0.5000 0.3034 0.2686  1 Os 2.63, 4 Te 2.72, 6 Ru 2.93-2.94
Os1 0.5000 0.5466 0.7808  5 Ru 2.63-2.73, 2 Te 2.64, 2 Os 2.94
Ru2 0.0000 0.9449 0.9849  1 Te 2.59, 4 Os 2.73
Te1 0.0000 0.7051 0.4657  5 Ru 2.59-2.72, 2 Os 2.64

Output
E_form (uncorrected): 482 meV/atom

***

What final energy values result from the calculations? In sequence: -6.639, -5.767, -4.722, -4.356, -3.189, -3.969, -5.416, -4.865, -8.874, -3.492, -3.408, -5.198, -4.510, -7.822, -10.488, -5.479, -9.043, -2.755, -6.112, -7.749 eV per atom.